# 1
# CsPr2Gd PBE relaxed
# - ΔE_f: 1.10 eV per formula unit
# - Crystal system: trigonal
data_CsPr2Gd
_cell_length_a 3.7500
_cell_length_b 3.7500
_cell_length_c 40.6970
_cell_angle_alpha 90.00
_cell_angle_beta 90.00
_cell_angle_gamma 120.00
_symmetry_space_group_name_H-M 'R -3 m'
_symmetry_Int_Tables_number 166
_symmetry_space_group_name_Hall '-R 3 2"'
loop_
_atom_site_label
_atom_site_type_symbol
_atom_site_fract_x
_atom_site_fract_y
_atom_site_fract_z
Cs1 Cs 0.0000 0.0000 0.0000
Pr1 Pr 0.0000 0.0000 0.0958
Gd1 Gd 0.0000 0.0000 0.5000

***

# 2
# CdInGa2 PBE relaxed
# - ΔE_f: 0.21 eV per formula unit
# - Crystal system: tetragonal
# - ΔE to the lowest computed polymorph: 0.00 kJ/mol of atoms
data_CdInGa2
_cell_length_a 3.544
_cell_length_b 3.544
_cell_length_c 7.126
_cell_angle_alpha 90.00
_cell_angle_beta 90.00
_cell_angle_gamma 90.00
_symmetry_space_group_name_H-M 'P 4/m m m'
_symmetry_Int_Tables_number 123
_symmetry_space_group_name_Hall '-P 4 2'
loop_
_atom_site_label
_atom_site_type_symbol
_atom_site_fract_x
_atom_site_fract_y
_atom_site_fract_z
Cd1 Cd 0.000 0.000 0.000
In1 In 0.000 0.000 0.500
Ga1 Ga 0.500 0.500 0.240

***

# 3
# Zn2CoCl PBE relaxed
# - Formation energy without anion corrections: 0.0199 eV per atom
# - Crystal system: orthorhombic
# - ΔE to the lowest computed polymorph: 7.85 kJ/mol of atoms
data_Zn2CoCl
_cell_length_a 2.872
_cell_length_b 4.141
_cell_length_c 11.623
_cell_angle_alpha 90.00
_cell_angle_beta 90.00
_cell_angle_gamma 90.00
_symmetry_space_group_name_H-M 'I m m 2'
_symmetry_Int_Tables_number 44
_symmetry_space_group_name_Hall 'I 2 -2'
loop_
_atom_site_label
_atom_site_type_symbol
_atom_site_fract_x
_atom_site_fract_y
_atom_site_fract_z
Zn1 Zn 0.000 0.000 0.000
Zn2 Zn 0.000 0.500 0.145
Co1 Co 0.000 0.500 0.672
Cl1 Cl 0.000 0.000 0.333

***

# 4
# TePIr4 PBE relaxed
# - Formation energy without anion corrections: 0.8198 eV per atom
# - Crystal system: cubic
data_TePIr4
_cell_length_a 7.468
_cell_length_b 7.468
_cell_length_c 7.468
_cell_angle_alpha 90.00
_cell_angle_beta 90.00
_cell_angle_gamma 90.00
_symmetry_space_group_name_H-M 'F -4 3 m'
_symmetry_Int_Tables_number 216
_symmetry_space_group_name_Hall 'F -4 2 3'
loop_
_atom_site_label
_atom_site_type_symbol
_atom_site_fract_x
_atom_site_fract_y
_atom_site_fract_z
Te1 Te 0.000 0.000 0.000
P1 P 0.250 0.250 0.250
Ir1 Ir 0.125 0.125 0.625

***

# 5
# MnBPd2Au PBE relaxed
# - ΔE_f: 5.13 eV per formula unit
# - Crystal system: tetragonal
data_MnBPd2Au
_cell_length_a 4.624
_cell_length_b 4.624
_cell_length_c 3.776
_cell_angle_alpha 90.00
_cell_angle_beta 90.00
_cell_angle_gamma 90.00
_symmetry_space_group_name_H-M 'P 4/m m m'
_symmetry_Int_Tables_number 123
_symmetry_space_group_name_Hall '-P 4 2'
loop_
_atom_site_label
_atom_site_type_symbol
_atom_site_fract_x
_atom_site_fract_y
_atom_site_fract_z
Mn1 Mn 0.000 0.000 0.000
B1 B 0.000 0.000 0.500
Pd1 Pd 0.000 0.500 0.000
Au1 Au 0.500 0.500 0.500

***

# 6
# Tl2AuS2 PBE relaxed
# - Formation energy without anion corrections: 0.1170 eV per atom
# - Crystal system: tetragonal
# - ΔE to the lowest computed polymorph: 29.13 kJ/mol of atoms
data_Tl2AuS2
_cell_length_a 3.554
_cell_length_b 3.554
_cell_length_c 19.239
_cell_angle_alpha 90.00
_cell_angle_beta 90.00
_cell_angle_gamma 90.00
_symmetry_space_group_name_H-M 'I 4/m m m'
_symmetry_Int_Tables_number 139
_symmetry_space_group_name_Hall '-I 4 2'
loop_
_atom_site_label
_atom_site_type_symbol
_atom_site_fract_x
_atom_site_fract_y
_atom_site_fract_z
Tl1 Tl 0.000 0.000 0.102
Au1 Au 0.000 0.000 0.500
S1 S 0.000 0.500 0.250

***

# 7
# Rb3YCl6 PBE relaxed
# - Formation energy without anion corrections: -2.1419 eV per atom
# - Crystal system: monoclinic
data_Rb3YCl6
_cell_length_a 25.966
_cell_length_b 8.095
_cell_length_c 13.205
_cell_angle_alpha 90.00
_cell_angle_beta 99.45
_cell_angle_gamma 90.00
_symmetry_space_group_name_H-M 'C 1 2/c 1'
_symmetry_Int_Tables_number 15
_symmetry_space_group_name_Hall '-C 2yc'
loop_
_atom_site_label
_atom_site_type_symbol
_atom_site_fract_x
_atom_site_fract_y
_atom_site_fract_z
Rb1 Rb 0.056 0.226 0.445
Rb2 Rb 0.153 0.319 0.147
Rb3 Rb 0.165 0.188 0.809
Y1 Y 0.000 0.198 0.750
Y2 Y 0.250 0.250 0.500
Cl1 Cl 0.054 0.206 0.938
Cl2 Cl 0.062 0.415 0.681
Cl3 Cl 0.063 0.046 0.210
Cl4 Cl 0.170 0.446 0.426
Cl5 Cl 0.180 0.026 0.534
Cl6 Cl 0.250 0.119 0.314

***

# 8
# TbCe2Sm3Ho6 PBE relaxed
# - ΔE_f: 0.53 eV per formula unit
# - Crystal system: monoclinic
data_TbCe2Sm3Ho6
_cell_length_a 6.156
_cell_length_b 10.659
_cell_length_c 11.715
_cell_angle_alpha 90.00
_cell_angle_beta 100.08
_cell_angle_gamma 90.00
_symmetry_space_group_name_H-M 'C 1 2/m 1'
_symmetry_Int_Tables_number 12
_symmetry_space_group_name_Hall '-C 2y'
loop_
_atom_site_label
_atom_site_type_symbol
_atom_site_fract_x
_atom_site_fract_y
_atom_site_fract_z
Tb1 Tb 0.000 0.000 0.000
Ce1 Ce 0.000 0.334 0.000
Sm1 Sm 0.000 0.166 0.500
Sm2 Sm 0.000 0.500 0.500
Ho1 Ho 0.247 0.500 0.247
Ho2 Ho 0.250 0.168 0.247

***

Values for total energy, eV/cell, ordered as above
-70.2, -9.5, -22.8, -156.3, -24.4, -31.4, -334.9, -115.2
Values for calculated density, Mg/m³, ordered as above
5.7, 6.8, 5.4, 14.8, 9.8, 9.2, 2.7, 8.2